a.
Material: SmNbPb
Method: DFT, PBE
State: relaxed

Summary:
mass density	7.89	g cm⁻³
calculated volume	31.61	Å³/atom

Cell lengths 7.239, 7.239, 7.239 Å; angles 90.00, 90.00, 90.00 degrees
Space group F-43m (No. 216)
Asymmetric unit:
1 Sm 0.000 0.000 0.000 [4 per cell]
2 Nb 0.250 0.250 0.750 [4 per cell]
3 Pb 0.250 0.250 0.250 [4 per cell]


b.
Material: SmNbPb
Method: DFT, PBE
State: relaxed

Summary:
mass density	8.67	g cm⁻³
calculated volume	28.77	Å³/atom

Cell lengths 7.015, 7.015, 7.015 Å; angles 90.00, 90.00, 90.00 degrees
Space group F-43m (No. 216)
Asymmetric unit:
1 Sm 0.000 0.000 0.000 [4 per cell]
2 Nb 0.000 0.000 0.500 [4 per cell]
3 Pb 0.250 0.250 0.750 [4 per cell]


Most stable = b


a.
Material: SrNbPb
Method: DFT, PBE
State: relaxed

Summary:
mass density	6.24	g cm⁻³
calculated volume	34.40	Å³/atom

Cell lengths 7.446, 7.446, 7.446 Å; angles 90.00, 90.00, 90.00 degrees
Space group F-43m (No. 216)
Asymmetric unit:
1 Sr 0.000 0.000 0.000 [4 per cell]
2 Nb 0.250 0.250 0.750 [4 per cell]
3 Pb 0.250 0.250 0.250 [4 per cell]


b.
Material: SrNbPb
Method: DFT, PBE
State: relaxed

Summary:
mass density	6.62	g cm⁻³
calculated volume	32.42	Å³/atom

Cell lengths 7.300, 7.300, 7.300 Å; angles 90.00, 90.00, 90.00 degrees
Space group F-43m (No. 216)
Asymmetric unit:
1 Sr 0.000 0.000 0.000 [4 per cell]
2 Nb 0.000 0.000 0.500 [4 per cell]
3 Pb 0.250 0.250 0.750 [4 per cell]


Most stable = b


a.
Material: TbNb2Pb2
Method: DFT, PBE
State: relaxed

Summary:
mass density	9.82	g cm⁻³
calculated volume	25.66	Å³/atom

Cell lengths 5.031, 5.031, 10.138 Å; angles 90.00, 90.00, 90.00 degrees
Space group I4/mmm (No. 139)
Asymmetric unit:
1 Tb 0.000 0.000 0.000 [2 per cell]
2 Nb 0.000 0.000 0.390 [4 per cell]
3 Pb 0.000 0.500 0.250 [4 per cell]


b.
Material: TbNb2Pb2
Method: DFT, PBE
State: relaxed

Summary:
mass density	10.59	g cm⁻³
calculated volume	23.80	Å³/atom

Cell lengths 4.237, 4.237, 13.257 Å; angles 90.00, 90.00, 90.00 degrees
Space group I4/mmm (No. 139)
Asymmetric unit:
1 Tb 0.000 0.000 0.000 [2 per cell]
2 Nb 0.000 0.500 0.250 [4 per cell]
3 Pb 0.000 0.000 0.394 [4 per cell]


Most stable = b


a.
Material: NbTePb
Method: DFT, PBE
State: relaxed

Summary:
mass density	8.39	g cm⁻³
calculated volume	28.23	Å³/atom

Cell lengths 6.971, 6.971, 6.971 Å; angles 90.00, 90.00, 90.00 degrees
Space group F-43m (No. 216)
Asymmetric unit:
1 Nb 0.000 0.000 0.000 [4 per cell]
2 Te 0.250 0.250 0.250 [4 per cell]
3 Pb 0.000 0.000 0.500 [4 per cell]


b.
Material: NbTePb
Method: DFT, PBE
State: relaxed

Summary:
mass density	8.60	g cm⁻³
calculated volume	27.53	Å³/atom

Cell lengths 6.913, 6.913, 6.913 Å; angles 90.00, 90.00, 90.00 degrees
Space group F-43m (No. 216)
Asymmetric unit:
1 Nb 0.000 0.000 0.000 [4 per cell]
2 Te 0.250 0.250 0.750 [4 per cell]
3 Pb 0.250 0.250 0.250 [4 per cell]


Most stable = b


a.
Material: TmNbPb
Method: DFT, PBE
State: relaxed

Summary:
mass density	8.82	g cm⁻³
calculated volume	29.44	Å³/atom

Cell lengths 7.069, 7.069, 7.069 Å; angles 90.00, 90.00, 90.00 degrees
Space group F-43m (No. 216)
Asymmetric unit:
1 Tm 0.000 0.000 0.000 [4 per cell]
2 Nb 0.250 0.250 0.750 [4 per cell]
3 Pb 0.250 0.250 0.250 [4 per cell]


b.
Material: TmNbPb
Method: DFT, PBE
State: relaxed

Summary:
mass density	9.59	g cm⁻³
calculated volume	27.07	Å³/atom

Cell lengths 6.874, 6.874, 6.874 Å; angles 90.00, 90.00, 90.00 degrees
Space group F-43m (No. 216)
Asymmetric unit:
1 Tm 0.000 0.000 0.000 [4 per cell]
2 Nb 0.000 0.000 0.500 [4 per cell]
3 Pb 0.250 0.250 0.750 [4 per cell]


Most stable = b


a.
Material: PrNbPd
Method: DFT, PBE
State: relaxed

Summary:
mass density	7.49	g cm⁻³
calculated volume	25.15	Å³/atom

Cell lengths 6.708, 6.708, 6.708 Å; angles 90.00, 90.00, 90.00 degrees
Space group F-43m (No. 216)
Asymmetric unit:
1 Pr 0.000 0.000 0.000 [4 per cell]
2 Nb 0.250 0.250 0.750 [4 per cell]
3 Pd 0.250 0.250 0.250 [4 per cell]


b.
Material: PrNbPd
Method: DFT, PBE
State: relaxed

Summary:
mass density	7.45	g cm⁻³
calculated volume	25.28	Å³/atom

Cell lengths 6.719, 6.719, 6.719 Å; angles 90.00, 90.00, 90.00 degrees
Space group F-43m (No. 216)
Asymmetric unit:
1 Pr 0.000 0.000 0.000 [4 per cell]
2 Nb 0.000 0.000 0.500 [4 per cell]
3 Pd 0.250 0.250 0.750 [4 per cell]


Most stable = b